[1]
{"formula": "YTa2Se", "functional": "SCAN", "state": "PBEsol geometry", "lattice": [[-1.6728, 2.1415, 5.6269], [1.6728, -2.1415, 5.6269], [1.6728, 2.1415, -5.6269]], "species": ["Y", "Ta", "Ta", "Se"], "frac_coords": [[0.0000, 0.0000, 0.0000], [0.2795, 0.7795, 0.5000], [0.7205, 0.2205, 0.5000], [0.5000, 0.5000, 0.0000]], "total_magnetization_mub_per_cell": 0.0, "final_energy_ev_per_atom": -45.338, "formation_energy_uncorrected_ev_per_atom": -0.066}

[2]
{"formula": "CuHgTe2", "functional": "SCAN", "state": "PBEsol geometry", "lattice": [[0.0000, 3.5594, 3.5594], [3.5594, 0.0000, 3.5594], [3.5594, 3.5594, 0.0000]], "species": ["Cu", "Hg", "Te", "Te"], "frac_coords": [[0.0000, 0.0000, 0.0000], [0.5000, 0.5000, 0.5000], [0.2500, 0.2500, 0.2500], [0.7500, 0.7500, 0.7500]], "total_magnetization_mub_per_cell": 0.0, "final_energy_ev_per_atom": -38.967, "formation_energy_uncorrected_ev_per_atom": 0.500}

[3]
{"formula": "Sc2CoBr", "functional": "SCAN", "state": "PBEsol geometry", "lattice": [[3.1413, -3.5193, 0.0000], [3.1413, 3.5193, 0.0000], [0.0000, 0.0000, 3.0983]], "species": ["Sc", "Sc", "Co", "Br"], "frac_coords": [[0.0000, 0.5000, 0.0000], [0.5000, 0.0000, 0.0000], [0.0000, 0.0000, 0.5000], [0.5000, 0.5000, 0.5000]], "total_magnetization_mub_per_cell": 0.5, "final_energy_ev_per_atom": -16.556, "formation_energy_uncorrected_ev_per_atom": -0.246}

[4]
{"formula": "SiTcMo", "functional": "SCAN", "state": "PBEsol geometry", "lattice": [[-1.4775, 1.4775, 4.6521], [1.4775, -1.4775, 4.6521], [1.4775, 1.4775, -4.6521]], "species": ["Si", "Tc", "Mo"], "frac_coords": [[0.0000, 0.0000, 0.0000], [0.6504, 0.6504, 0.0000], [0.3286, 0.3286, 0.0000]], "total_magnetization_mub_per_cell": 0.0, "final_energy_ev_per_atom": -26.988, "formation_energy_uncorrected_ev_per_atom": -0.334}

[5]
{"formula": "Y3Ir2", "functional": "SCAN", "state": "PBEsol geometry", "lattice": [[4.7239, 0.0000, 0.0000], [-2.3620, 4.0911, 0.0000], [0.0000, 0.0000, 5.8814]], "species": ["Y", "Y", "Y", "Ir", "Ir"], "frac_coords": [[0.0000, 0.0000, 0.0000], [0.3333, 0.6667, 0.3368], [0.6667, 0.3333, 0.6632], [0.3333, 0.6667, 0.8334], [0.6667, 0.3333, 0.1666]], "total_magnetization_mub_per_cell": 0.0, "e_form_ev_per_atom": -0.938, "final_energy_ev_per_atom": -46.083}

[6]
{"formula": "YReBi2C", "functional": "SCAN", "state": "PBEsol geometry", "lattice": [[5.1484, 0.0000, 0.0000], [0.0000, 5.1484, 0.0000], [0.0000, 0.0000, 5.3543]], "species": ["Y", "Re", "Bi", "Bi", "C"], "frac_coords": [[0.0000, 0.0000, 0.0000], [0.0000, 0.0000, 0.5000], [0.0000, 0.5000, 0.5000], [0.5000, 0.0000, 0.5000], [0.5000, 0.5000, 0.0000]], "total_magnetization_mub_per_cell": 2.1, "e_form_ev_per_atom": 1.530, "final_energy_ev_per_atom": -51.709}

[7]
{"formula": "YIn2Co", "functional": "SCAN", "state": "PBEsol geometry", "lattice": [[-1.9375, 2.3830, 4.3667], [1.9375, -2.3830, 4.3667], [1.9375, 2.3830, -4.3667]], "species": ["Y", "In", "In", "Co"], "frac_coords": [[0.0000, 0.0000, 0.0000], [0.4429, 0.4429, 0.0000], [0.7203, 0.2203, 0.5000], [0.2253, 0.7253, 0.5000]], "total_magnetization_mub_per_cell": 1.4, "e_form_ev_per_atom": -0.066, "final_energy_ev_per_atom": -28.046}

[8]
{"formula": "LaTcSb2", "functional": "SCAN", "state": "PBEsol geometry", "lattice": [[0.0000, 3.5689, 3.5689], [3.5689, 0.0000, 3.5689], [3.5689, 3.5689, 0.0000]], "species": ["La", "Tc", "Sb", "Sb"], "frac_coords": [[0.0000, 0.0000, 0.0000], [0.7500, 0.7500, 0.7500], [0.2500, 0.2500, 0.2500], [0.5000, 0.5000, 0.5000]], "total_magnetization_mub_per_cell": 0.0, "final_energy_ev_per_atom": -38.051, "formation_energy_uncorrected_ev_per_atom": 0.121}

[9]
{"formula": "TaAu2Se", "functional": "SCAN", "state": "PBEsol geometry", "lattice": [[-1.5151, 2.1240, 5.8444], [1.5151, -2.1240, 5.8444], [1.5151, 2.1240, -5.8444]], "species": ["Ta", "Au", "Au", "Se"], "frac_coords": [[0.0000, 0.0000, 0.0000], [0.2036, 0.7036, 0.5000], [0.7964, 0.2964, 0.5000], [0.5000, 0.5000, 0.0000]], "total_magnetization_mub_per_cell": 0.0, "final_energy_ev_per_atom": -56.179, "formation_energy_uncorrected_ev_per_atom": 0.065}

[10]
{"formula": "MnCd", "functional": "SCAN", "state": "PBEsol geometry", "lattice": [[-1.4639, 2.3646, 4.7307], [1.4639, -2.3646, 4.7307], [1.4639, 2.3646, -4.7307]], "species": ["Mn", "Mn", "Cd", "Cd"], "frac_coords": [[0.3871, 0.1371, 0.2500], [0.6129, 0.8629, 0.7500], [0.1325, 0.3825, 0.7500], [0.8675, 0.6175, 0.2500]], "total_magnetization_mub_per_cell": 7.4, "e_form_ev_per_atom": 0.064, "final_energy_ev_per_atom": -24.270}

[11]
{"formula": "Y2Hg2Pb", "functional": "SCAN", "state": "PBEsol geometry", "lattice": [[7.9897, 0.0000, 0.0000], [0.0000, 7.9897, 0.0000], [0.0000, 0.0000, 3.9956]], "species": ["Y", "Y", "Y", "Y", "Hg", "Hg", "Hg", "Hg", "Pb", "Pb"], "frac_coords": [[0.1701, 0.3299, 0.0000], [0.3299, 0.8299, 0.0000], [0.6701, 0.1701, 0.0000], [0.8299, 0.6701, 0.0000], [0.1278, 0.6278, 0.5000], [0.3722, 0.1278, 0.5000], [0.6278, 0.8722, 0.5000], [0.8722, 0.3722, 0.5000], [0.0000, 0.0000, 0.5000], [0.5000, 0.5000, 0.5000]], "total_magnetization_mub_per_cell": 0.0, "e_form_ev_per_atom": -0.667, "final_energy_ev_per_atom": -54.227}

[12]
{"formula": "Co2SeBr", "functional": "SCAN", "state": "PBEsol geometry", "lattice": [[3.0464, 0.0000, 0.0000], [0.0000, 3.0464, 0.0000], [0.0000, 0.0000, 6.2551]], "species": ["Co", "Co", "Se", "Br"], "frac_coords": [[0.0000, 0.0000, 0.2061], [0.0000, 0.0000, 0.7939], [0.5000, 0.5000, 0.0000], [0.5000, 0.5000, 0.5000]], "total_magnetization_mub_per_cell": 3.5, "final_energy_ev_per_atom": -17.907, "formation_energy_uncorrected_ev_per_atom": 0.629}

[13]
{"formula": "TaTcH3", "functional": "SCAN", "state": "PBEsol geometry", "lattice": [[3.4761, 0.0000, 0.0000], [0.0000, 3.4761, 0.0000], [0.0000, 0.0000, 3.4761]], "species": ["Ta", "Tc", "H", "H", "H"], "frac_coords": [[0.0000, 0.0000, 0.0000], [0.5000, 0.5000, 0.5000], [0.0000, 0.0000, 0.5000], [0.0000, 0.5000, 0.0000], [0.5000, 0.0000, 0.0000]], "total_magnetization_mub_per_cell": 0.0, "final_energy_ev_per_atom": -21.819}

[14]
{"formula": "Ba2TlFe", "functional": "SCAN", "state": "PBEsol geometry", "lattice": [[2.0455, 1.1810, 9.5516], [-2.0455, 1.1810, 9.5516], [0.0000, -2.3620, 9.5516]], "species": ["Ba", "Ba", "Tl", "Fe"], "frac_coords": [[0.2385, 0.2385, 0.2385], [0.7615, 0.7615, 0.7615], [0.0000, 0.0000, 0.0000], [0.5000, 0.5000, 0.5000]], "total_magnetization_mub_per_cell": 2.3, "e_form_ev_per_atom": 0.347, "final_energy_ev_per_atom": -42.050}

[15]
{"formula": "LaMnCd4", "functional": "SCAN", "state": "PBEsol geometry", "lattice": [[0.0000, 4.0600, 4.0600], [4.0600, 0.0000, 4.0600], [4.0600, 4.0600, 0.0000]], "species": ["La", "Mn", "Cd", "Cd", "Cd", "Cd"], "frac_coords": [[0.0000, 0.0000, 0.0000], [0.2500, 0.2500, 0.2500], [0.1266, 0.6245, 0.6245], [0.6245, 0.1266, 0.6245], [0.6245, 0.6245, 0.1266], [0.6245, 0.6245, 0.6245]], "total_magnetization_mub_per_cell": 4.1, "e_form_ev_per_atom": -0.129, "final_energy_ev_per_atom": -30.632}